(1)
V2PdRu: optimized geometry, PBE-GGA.

Computed properties:
spin magnetization	0.000	μB per atom
space group	P4/mmm, No. 123
E_tot	-8.366	eV per atom
density of states at the Fermi level	1.26	states/eV per atom
energy of formation from the pure elements	-0.19	eV per atom

Geometry as CIF:
```
data_V2PdRu
_cell_length_a 2.779
_cell_length_b 2.779
_cell_length_c 7.305
_cell_angle_alpha 90.00
_cell_angle_beta 90.00
_cell_angle_gamma 90.00
_space_group_name_H-M_alt 'P 1'
_space_group_IT_number 1
_space_group_name_Hall 'P 1'
loop_
_atom_site_label
_atom_site_fract_x
_atom_site_fract_y
_atom_site_fract_z
_atom_site_occupancy
V1 0.000 0.000 0.234 1
V2 0.000 0.000 0.766 1
Pd1 0.500 0.500 0.500 1
Ru1 0.500 0.500 0.000 1
```

(2)
Zn15Ag4Pd: optimized geometry, PBE-GGA.

Computed properties:
spin magnetization	0.000	μB per atom
space group	P4/mmm, No. 123
E_tot	-1.840	eV per atom
density of states at the Fermi level	0.30	states/eV per atom
energy of formation from the pure elements	-0.05	eV per atom

Geometry as CIF:
```
data_Zn15Ag4Pd
_cell_length_a 3.923
_cell_length_b 3.923
_cell_length_c 19.892
_cell_angle_alpha 90.00
_cell_angle_beta 90.00
_cell_angle_gamma 90.00
_space_group_name_H-M_alt 'P 1'
_space_group_IT_number 1
_space_group_name_Hall 'P 1'
loop_
_atom_site_label
_atom_site_fract_x
_atom_site_fract_y
_atom_site_fract_z
_atom_site_occupancy
Zn1 0.000 0.000 0.000 1
Zn2 0.000 0.000 0.197 1
Zn3 0.000 0.000 0.399 1
Zn4 0.000 0.000 0.601 1
Zn5 0.000 0.000 0.803 1
Zn6 0.000 0.500 0.096 1
Zn7 0.000 0.500 0.297 1
Zn8 0.000 0.500 0.500 1
Zn9 0.000 0.500 0.703 1
Zn10 0.000 0.500 0.904 1
Zn11 0.500 0.000 0.096 1
Zn12 0.500 0.000 0.297 1
Zn13 0.500 0.000 0.500 1
Zn14 0.500 0.000 0.703 1
Zn15 0.500 0.000 0.904 1
Ag1 0.500 0.500 0.197 1
Ag2 0.500 0.500 0.398 1
Ag3 0.500 0.500 0.602 1
Ag4 0.500 0.500 0.803 1
Pd1 0.500 0.500 0.000 1
```

What is the energy of formation from the pure elements in the second record?
-0.05 eV per atom

The highest density of states at the Fermi level belongs to which entry?
V2PdRu

Among the records above, which one has the highest E_tot?
Zn15Ag4Pd